1.
Compound: HoTc12P6
Source: Alexandria
Functional: PBE
Structure: optimized geometry

Computed properties:
Raw total energy   -169.30 eV per formula unit
Energy relative to the elements   -414 meV per atom

POSCAR file:
```
HoTc12P6
1.0
-4.914 4.587 1.412
1.773 -2.461 6.163
5.376 3.860 -1.840
Ho Tc P
1 12 6
Direct
0.000 0.000 0.000
0.866 0.134 0.500
0.816 0.549 0.549
0.549 0.549 0.816
0.451 0.184 0.451
0.451 0.451 0.184
0.184 0.451 0.451
0.134 0.500 0.866
0.500 0.866 0.134
0.134 0.866 0.500
0.866 0.500 0.134
0.500 0.134 0.866
0.549 0.816 0.549
0.682 0.234 0.234
0.234 0.234 0.682
0.234 0.682 0.234
0.766 0.766 0.318
0.318 0.766 0.766
0.766 0.318 0.766
```

2.
Compound: Ho2Te2P
Source: Alexandria
Functional: PBE
Structure: optimized geometry

Computed properties:
Raw total energy   -26.85 eV per formula unit
Uncorrected formation energy   -1200.8 meV/atom

POSCAR file:
```
Ho2Te2P
1.0
-0.115 0.240 -4.035
2.691 -2.030 -2.234
-5.523 -8.748 -2.421
P Te Ho
1 2 2
Direct
0.000 0.000 0.000
0.217 0.217 0.346
0.783 0.783 0.654
0.614 0.614 0.156
0.386 0.386 0.844
```

3.
Compound: Ho4TeP2
Source: Alexandria
Functional: PBE
Structure: optimized geometry

Computed properties:
Raw total energy   -41.25 eV per formula unit
Uncorrected formation energy   -1282.9 meV/atom

POSCAR file:
```
Ho4TeP2
1.0
-0.124 3.906 0.840
-3.404 1.664 1.273
2.270 -0.749 13.326
Ho Te P
4 1 2
Direct
0.129 0.129 0.614
0.281 0.281 0.156
0.719 0.719 0.844
0.871 0.871 0.386
0.000 0.000 0.000
0.423 0.423 0.732
0.577 0.577 0.268
```

4.
Compound: Ho5TeP4
Source: Alexandria
Functional: PBE
Structure: optimized geometry

Computed properties:
Raw total energy   -63.31 eV per formula unit
Uncorrected formation energy   -1563.7 meV/atom

POSCAR file:
```
Ho5TeP4
1.0
-2.795 0.526 -2.854
2.619 -3.945 -3.292
-5.607 -5.601 7.302
Ho Te P
5 1 4
Direct
0.614 0.114 0.228
0.802 0.302 0.604
0.198 0.698 0.396
0.000 0.500 0.000
0.386 0.886 0.772
0.000 0.000 0.000
0.400 0.400 0.801
0.796 0.796 0.592
0.204 0.204 0.408
0.600 0.600 0.199
```